Material: Pr2Sm4Dy3
Method: DFT, PBE
State: optimized geometry

Geometry as POSCAR:
```
Pr2Sm4Dy3
1.0
3.634 0.000 0.000
-1.817 3.147 0.000
0.000 0.000 26.860
Pr Sm Dy
2 4 3
Direct
0.000 0.000 0.000
0.000 0.000 0.218
0.000 0.000 0.351
0.000 0.000 0.563
0.333 0.667 0.673
0.333 0.667 0.887
0.000 0.000 0.780
0.333 0.667 0.111
0.333 0.667 0.455
```

Mass density   7.41 g/cm³
Final energy   -41.76 eV per cell